[1]
This record from Alexandria describes crystalline SmTmI3 at its relaxed geometry. The functional is GGA-PBE.

a = 4.067 Å, b = 10.258 Å, c = 10.677 Å
α = 72.62°, β = 79.02°, γ = 78.57°
Fractional coordinates of all 10 atoms:
Tm 0.564 0.833 0.038
Tm 0.436 0.167 0.962
I 0.333 0.828 0.505
I 0.667 0.172 0.495
I 0.966 0.319 0.749
I 0.034 0.681 0.251
I 0.209 0.699 0.883
I 0.791 0.301 0.117
Sm 0.132 0.012 0.725
Sm 0.868 0.988 0.275

Output
Energy relative to the elements, uncorrected ... -1.0849 eV/atom
VASP energy ... -3.85 eV per atom
Density ... 5.64 g/cm³

[2]
This record from Alexandria describes crystalline SmYI4 at its relaxed geometry. The functional is GGA-PBE.

a = 4.169 Å, b = 9.118 Å, c = 7.235 Å
α = 113.69°, β = 90.00°, γ = 103.22°
Fractional coordinates of all 6 atoms:
I 0.624 0.248 0.953
I 0.122 0.244 0.462
I 0.376 0.752 0.047
I 0.878 0.756 0.538
Y 0.500 0.000 0.500
Sm 0.000 0.000 0.000

Output
Energy relative to the elements, uncorrected ... -1.2480 eV/atom
VASP energy ... -4.15 eV per atom
Density ... 5.09 g/cm³

Number 1: DOS(E_F) 0.9 states/eV/cell. Number 2: DOS(E_F) 3.6 states/eV/cell.